1.
This record from Alexandria describes a relaxed structure of CrPt2Pb. The functional is PBE.

Values from the calculation:
Crystal system: tetragonal
Electronic total energy: -6.01 eV/atom
Magnetic moment: 0.0000 μB/atom

abc: 7.308 7.308 5.521
angles: 90.00 90.00 90.00
Sites, in units of the cell vectors:
Cr 0.000 0.000 0.000
Cr 0.000 0.500 0.250
Cr 0.500 0.000 0.750
Cr 0.500 0.500 0.500
Pt 0.210 0.250 0.125
Pt 0.250 0.710 0.375
Pt 0.250 0.790 0.875
Pt 0.290 0.250 0.625
Pt 0.710 0.750 0.625
Pt 0.750 0.210 0.875
Pt 0.750 0.290 0.375
Pt 0.790 0.750 0.125
Pb 0.000 0.000 0.500
Pb 0.000 0.500 0.750
Pb 0.500 0.000 0.250
Pb 0.500 0.500 0.000

2.
This record from Alexandria describes a relaxed structure of CrPt2Pb. The functional is PBE.

Values from the calculation:
Crystal system: tetragonal
Electronic total energy: -6.37 eV/atom
Magnetic moment: 0.9728 μB/atom

abc: 4.164 4.164 4.049
angles: 90.00 90.00 90.00
Sites, in units of the cell vectors:
Cr 0.000 0.000 0.000
Pt 0.000 0.500 0.500
Pt 0.500 0.000 0.500
Pb 0.500 0.500 0.000

3.
This record from Alexandria describes a relaxed structure of CrPt4Pb. The functional is PBE.

Values from the calculation:
Crystal system: cubic
Electronic total energy: -6.25 eV/atom
Magnetic moment: 0.7302 μB/atom

abc: 5.379 5.379 5.379
angles: 60.00 60.00 60.00
Sites, in units of the cell vectors:
Cr 0.000 0.000 0.000
Pt 0.124 0.625 0.625
Pt 0.625 0.124 0.625
Pt 0.625 0.625 0.124
Pt 0.625 0.625 0.625
Pb 0.250 0.250 0.250

Here are the calculated E_form numbers, same order: 0.346 -0.019 -0.003 (eV/atom).